Entry from Alexandria via LeMat-Bulk: Tl2ZnRh after structural relaxation (PBE-GGA).

## Properties
ΔH_f (0 K)   0.23 eV per atom
Symmetry   No. 166
V   85.4 Å³/cell

Lattice parameters (Å, degrees): 8.8729 8.8729 8.8729 21.93 21.93 21.93
Positions (direct):
Tl 0.2445 0.2445 0.2445
Tl 0.7555 0.7555 0.7555
Zn 0.0000 0.0000 0.0000
Rh 0.5000 0.5000 0.5000